# SmAl3Pd | Alexandria via LeMat-Bulk | PBE-GGA | relaxed
# Calculated density ... 5.76 g/cm3
# Electronic total energy ... -4.91 eV/atom
# Spin magnetization ... 0.00 Bohr magnetons per cell
data_SmAl3Pd
_space_group_name_H-M_alt 'P n m a'
_space_group_IT_number 62
_cell_length_a 8.386
_cell_length_b 4.214
_cell_length_c 11.023
_cell_angle_alpha 90.00
_cell_angle_beta 90.00
_cell_angle_gamma 90.00
loop_
_space_group_symop_operation_xyz
'x,y,z'
'-x,-y,-z'
'-x+1/2,-y,z+1/2'
'x+1/2,y,-z+1/2'
'x+1/2,-y+1/2,-z+1/2'
'-x+1/2,y+1/2,z+1/2'
'-x,y+1/2,-z'
'x,-y+1/2,z'
loop_
_atom_site_label
_atom_site_fract_x
_atom_site_fract_y
_atom_site_fract_z
Sm1 0.184 0.250 0.012
Al1 0.064 0.250 0.588
Al2 0.116 0.750 0.794
Al3 0.141 0.750 0.218
Pd1 0.099 0.250 0.356